## MgReHgAs2 (PBE-GGA)

Data for MgReHgAs2 after structural relaxation.

Cell lengths 4.763, 5.411, 4.763 Å; angles 90.00, 90.00, 90.00 degrees
Positions (direct):
Re 0.000 0.000 0.000
Hg 0.500 0.500 0.500
As 0.000 0.000 0.500
As 0.500 0.000 0.000
Mg 0.000 0.500 0.000

Calculated values
E_form ... 221.2 meV per atom
Crystal system ... tetragonal
Space-group type ... No. 123
D(E_F) ... 2.3 states/eV per cell
Calculated total energy ... -4.51 eV per atom


## Y2ZnCr (PBE-GGA)

Data for Y2ZnCr after structural relaxation.

Cell lengths 5.008, 5.008, 5.008 Å; angles 60.00, 60.00, 60.00 degrees
Last column: magnetic moment on the atom in μB.
Positions (direct):
Cr 0.500 0.500 0.500  3.46
Y 0.000 0.000 0.000  -0.15
Y 0.750 0.750 0.750  0.08
Zn 0.250 0.250 0.250  -0.02

Calculated values
E_form ... 240.8 meV per atom
Relative energy among the computed polymorphs ... 88 kJ/mol of formula units
Crystal system ... cubic
Space-group type ... No. 216
D(E_F) ... 2.8 states/eV per cell
Calculated total energy ... -5.72 eV per atom


## NaSr4Cu2 (PBE-GGA)

Data for NaSr4Cu2 after structural relaxation.

Cell lengths 5.674, 5.888, 16.944 Å; angles 90.00, 90.00, 118.80 degrees
Positions (direct):
Cu 0.850 0.699 0.568
Cu 0.150 0.301 0.432
Cu 0.150 0.301 0.068
Cu 0.850 0.699 0.932
Sr 0.822 0.643 0.386
Sr 0.178 0.357 0.614
Sr 0.500 0.000 0.000
Sr 0.822 0.643 0.114
Sr 0.178 0.357 0.886
Sr 0.500 0.000 0.500
Sr 0.151 0.301 0.250
Sr 0.849 0.699 0.750
Na 0.520 0.040 0.750
Na 0.480 0.960 0.250

Calculated values
E_form ... 78.9 meV per atom
Crystal system ... orthorhombic
Space-group type ... No. 63
D(E_F) ... 14.9 states/eV per cell
Calculated total energy ... -2.24 eV per atom


## SnSI2 (PBE-GGA)

Data for SnSI2 after structural relaxation.

Cell lengths 8.535, 8.535, 7.121 Å; angles 53.18, 53.18, 90.00 degrees
Last column: magnetic moment on the atom in μB.
Positions (direct):
S 0.250 0.750 0.500  0.78
S 0.500 0.500 0.000  0.78
I 0.375 0.371 0.750  0.18
I 0.121 0.625 0.250  0.17
I 0.629 0.125 0.250  0.18
I 0.875 0.879 0.750  0.17
Sn 0.000 0.000 0.000  0.05
Sn 0.750 0.250 0.500  0.05

Calculated values
Relative energy among the computed polymorphs ... 1 kJ/mol of formula units
E_form (uncorrected) ... 0.337 eV/atom
Crystal system ... tetragonal
Space-group type ... No. 122
D(E_F) ... 5.4 states/eV per cell
Calculated total energy ... -2.47 eV per atom


## SiPbBr (PBE-GGA)

Data for SiPbBr after structural relaxation.

Cell lengths 8.187, 7.827, 3.430 Å; angles 83.57, 71.82, 24.60 degrees
Positions (direct):
Br 0.024 0.024 0.976
Si 0.655 0.655 0.345
Pb 0.321 0.321 0.679

Calculated values
Relative energy among the computed polymorphs ... 51 kJ/mol of formula units
E_form (uncorrected) ... 0.308 eV/atom
Crystal system ... orthorhombic
Space-group type ... No. 42
D(E_F) ... 1.0 states/eV per cell
Calculated total energy ... -3.29 eV per atom


## PmYTlOs (PBE-GGA)

Data for PmYTlOs after structural relaxation.

Cell lengths 5.138, 5.138, 5.138 Å; angles 60.00, 60.00, 60.00 degrees
Positions (direct):
Y 0.750 0.750 0.750
Tl 0.000 0.000 0.000
Pm 0.250 0.250 0.250
Os 0.500 0.500 0.500

Calculated values
E_form ... -97.2 meV per atom
Crystal system ... cubic
Space-group type ... No. 216
D(E_F) ... 2.9 states/eV per cell
Calculated total energy ... -6.30 eV per atom